# 1
# InRe2Si, optimized geometry, DFT PBE-GGA
# ρ	13342	kg/m³
# D(E_F)	2.9	states/eV/cell
# calculated total energy	-7.866	eV/atom
data_InRe2Si
_chemical_formula_sum 'In1 Re2 Si1'
_space_group_name_H-M_alt 'P 1'
_space_group_IT_number 1
_space_group_name_Hall 'P 1'
_cell_length_a 2.888
_cell_length_b 2.888
_cell_length_c 8.556
_cell_angle_alpha 90.00
_cell_angle_beta 90.00
_cell_angle_gamma 116.01
loop_
_atom_site_label
_atom_site_fract_x
_atom_site_fract_y
_atom_site_fract_z
Re1 0.000 0.000 0.031
In1 0.500 0.500 0.750
Si1 0.500 0.500 0.250
Re2 0.000 0.000 0.469

***

# 2
# InRe2Si, optimized geometry, DFT PBE-GGA
# ρ	13044	kg/m³
# D(E_F)	2.6	states/eV/cell
# calculated total energy	-8.042	eV/atom
data_InRe2Si
_chemical_formula_sum 'In1 Re2 Si1'
_space_group_name_H-M_alt 'P 1'
_space_group_IT_number 1
_space_group_name_Hall 'P 1'
_cell_length_a 8.968
_cell_length_b 8.968
_cell_length_c 8.968
_cell_angle_alpha 18.82
_cell_angle_beta 18.82
_cell_angle_gamma 18.82
loop_
_atom_site_label
_atom_site_fract_x
_atom_site_fract_y
_atom_site_fract_z
Re1 0.993 0.993 0.993
In1 0.750 0.750 0.750
Re2 0.248 0.248 0.248
Si1 0.510 0.510 0.510

***

# 3
# In4ReSi, optimized geometry, DFT PBE-GGA
# ρ	8532	kg/m³
# D(E_F)	4.7	states/eV/cell
# calculated total energy	-3.742	eV/atom
data_In4ReSi
_chemical_formula_sum 'In4 Re1 Si1'
_space_group_name_H-M_alt 'P 1'
_space_group_IT_number 1
_space_group_name_Hall 'P 1'
_cell_length_a 5.702
_cell_length_b 5.702
_cell_length_c 5.702
_cell_angle_alpha 60.00
_cell_angle_beta 60.00
_cell_angle_gamma 60.00
loop_
_atom_site_label
_atom_site_fract_x
_atom_site_fract_y
_atom_site_fract_z
Si1 0.000 0.000 0.000
In1 0.375 0.375 0.375
Re1 0.750 0.750 0.750
In2 0.874 0.375 0.375
In3 0.375 0.874 0.375
In4 0.375 0.375 0.874

***

# 4
# InRe2Si, optimized geometry, DFT PBE-GGA
# ρ	13525	kg/m³
# D(E_F)	2.5	states/eV/cell
# calculated total energy	-7.865	eV/atom
data_InRe2Si
_chemical_formula_sum 'In1 Re2 Si1'
_space_group_name_H-M_alt 'P 1'
_space_group_IT_number 1
_space_group_name_Hall 'P 1'
_cell_length_a 4.967
_cell_length_b 4.967
_cell_length_c 4.663
_cell_angle_alpha 72.53
_cell_angle_beta 72.53
_cell_angle_gamma 35.41
loop_
_atom_site_label
_atom_site_fract_x
_atom_site_fract_y
_atom_site_fract_z
Si1 0.484 0.484 0.561
Re1 0.748 0.748 0.703
Re2 0.013 0.013 0.026
In1 0.254 0.254 0.210

***

no.,total moment (μB per formula unit)
1,0.00
2,0.00
3,0.51
4,0.00